Run P
Entry from Alexandria: Te2MoPt after structural relaxation (PBEsol).

Calculated density = 10.4 g cm⁻³
Fermi-level density of states = 2.80 states/eV per cell
Total magnetic moment = 0.0 μB/cell

Lattice parameters (Å, degrees): 3.5157 3.5157 7.0819 90.00 90.00 90.00
Sites, in units of the cell vectors:
Te: 0.0000 0.0000 0.0000
Te: 0.5000 0.5000 0.4420
Mo: 0.0000 0.0000 0.6246
Pt: 0.5000 0.5000 0.8390

Run Q
Entry from Alexandria: Te2MoPt after structural relaxation (PBEsol).

Calculated density = 9.8 g cm⁻³
Fermi-level density of states = 4.22 states/eV per cell
Total magnetic moment = 0.0 μB/cell

Lattice parameters (Å, degrees): 8.7842 8.7842 8.7842 23.18 23.18 23.18
Sites, in units of the cell vectors:
Te: 0.0993 0.0993 0.0993
Te: 0.9007 0.9007 0.9007
Mo: 0.0000 0.0000 0.0000
Pt: 0.5000 0.5000 0.5000

Run R
Entry from Alexandria: Te2MoPt after structural relaxation (PBEsol).

Calculated density = 12.1 g cm⁻³
Fermi-level density of states = 1.35 states/eV per cell
Total magnetic moment = 0.0 μB/cell

Lattice parameters (Å, degrees): 3.4082 3.4082 6.4700 90.00 90.00 90.00
Sites, in units of the cell vectors:
Te: 0.0000 0.0000 0.2432
Te: 0.0000 0.0000 0.7568
Mo: 0.5000 0.5000 0.0000
Pt: 0.5000 0.5000 0.5000

It is run Q that is the least stable of them.

Run P
Entry from Alexandria: MoPtW2 after structural relaxation (PBEsol).

Calculated density = 17.7 g cm⁻³
Fermi-level density of states = 2.52 states/eV per cell
Total magnetic moment = 0.0 μB/cell

Lattice parameters (Å, degrees): 2.6825 2.6825 8.5768 90.00 90.00 90.00
Sites, in units of the cell vectors:
Mo: 0.0000 0.0000 0.0000
Pt: 0.5000 0.5000 0.2415
W: 0.0000 0.0000 0.4808
W: 0.5000 0.5000 0.7405

Run Q
Entry from Alexandria: MoPtW2 after structural relaxation (PBEsol).

Calculated density = 17.6 g cm⁻³
Fermi-level density of states = 5.60 states/eV per cell
Total magnetic moment = 0.0 μB/cell

Lattice parameters (Å, degrees): 4.4443 4.4443 4.4443 60.00 60.00 60.00
Sites, in units of the cell vectors:
Mo: 0.0000 0.0000 0.0000
Pt: 0.5000 0.5000 0.5000
W: 0.2500 0.2500 0.2500
W: 0.7500 0.7500 0.7500

It is run Q that is the least stable of them.

Run P
Entry from Alexandria: MoPtW2 after structural relaxation (PBEsol).

Calculated density = 17.7 g cm⁻³
Fermi-level density of states = 2.76 states/eV per cell
Total magnetic moment = 0.0 μB/cell

Lattice parameters (Å, degrees): 2.6818 4.5027 5.1709 90.00 97.79 90.00
Sites, in units of the cell vectors:
Mo: 0.0000 0.0000 0.0000
Pt: 0.5712 0.5000 0.2384
W: 0.2416 0.5000 0.7330
W: 0.5694 0.0000 0.5047

Run Q
Entry from Alexandria: MoPtW2 after structural relaxation (PBEsol).

Calculated density = 17.7 g cm⁻³
Fermi-level density of states = 2.98 states/eV per cell
Total magnetic moment = 0.0 μB/cell

Lattice parameters (Å, degrees): 2.6671 4.4730 5.2267 90.00 98.60 90.00
Sites, in units of the cell vectors:
Mo: 0.0000 0.0000 0.0000
Pt: 0.5000 0.0000 0.5000
W: 0.2301 0.5000 0.7539
W: 0.7699 0.5000 0.2461

It is run Q that is the least stable of them.

Run P
Entry from Alexandria: Zn2MoPt after structural relaxation (PBEsol).

Calculated density = 12.2 g cm⁻³
Fermi-level density of states = 3.51 states/eV per cell
Total magnetic moment = 0.0 μB/cell

Lattice parameters (Å, degrees): 4.7907 4.7907 2.6459 90.00 90.00 108.72
Sites, in units of the cell vectors:
Zn: 0.0000 0.5000 0.0000
Zn: 0.5000 0.0000 0.0000
Mo: 0.0000 0.0000 0.5000
Pt: 0.5000 0.5000 0.5000

Run Q
Entry from Alexandria: Zn2MoPt after structural relaxation (PBEsol).

Calculated density = 12.0 g cm⁻³
Fermi-level density of states = 2.49 states/eV per cell
Total magnetic moment = 0.0 μB/cell

Lattice parameters (Å, degrees): 2.7319 4.5088 4.7464 90.00 90.00 90.00
Sites, in units of the cell vectors:
Zn: 0.0000 0.0000 0.0000
Zn: 0.5000 0.0000 0.5000
Mo: 0.0000 0.5000 0.5000
Pt: 0.5000 0.5000 0.0000

Run R
Entry from Alexandria: Zn2MoPt after structural relaxation (PBEsol).

Calculated density = 12.1 g cm⁻³
Fermi-level density of states = 3.99 states/eV per cell
Total magnetic moment = 1.3 μB/cell

Lattice parameters (Å, degrees): 4.3468 4.3468 4.3468 60.00 60.00 60.00
Sites, in units of the cell vectors:
Zn: 0.0000 0.0000 0.0000
Zn: 0.2500 0.2500 0.2500
Mo: 0.7500 0.7500 0.7500
Pt: 0.5000 0.5000 0.5000

It is run R that is the least stable of them.

Run P
Entry from Alexandria: ReMoRh2 after structural relaxation (PBEsol).

Calculated density = 14.4 g cm⁻³
Fermi-level density of states = 3.30 states/eV per cell
Total magnetic moment = 0.0 μB/cell

Lattice parameters (Å, degrees): 4.7352 4.7352 2.6841 90.00 90.00 110.86
Sites, in units of the cell vectors:
Re: 0.0000 0.0000 0.0000
Mo: 0.5000 0.5000 0.0000
Rh: 0.0000 0.5000 0.5000
Rh: 0.5000 0.0000 0.5000

Run Q
Entry from Alexandria: ReMoRh2 after structural relaxation (PBEsol).

Calculated density = 14.3 g cm⁻³
Fermi-level density of states = 4.15 states/eV per cell
Total magnetic moment = 0.0 μB/cell

Lattice parameters (Å, degrees): 4.6882 2.7092 4.7207 90.00 109.34 90.00
Sites, in units of the cell vectors:
Re: 0.0000 0.0000 0.0000
Mo: 0.5000 0.5000 0.0000
Rh: 0.0000 0.5000 0.5000
Rh: 0.5000 0.0000 0.5000

It is run Q that is the least stable of them.

Run P
Entry from Alexandria: ReMoRu2 after structural relaxation (PBEsol).

Calculated density = 14.2 g cm⁻³
Fermi-level density of states = 3.98 states/eV per cell
Total magnetic moment = 0.0 μB/cell

Lattice parameters (Å, degrees): 4.6873 4.6873 4.6873 131.56 131.56 70.92
Sites, in units of the cell vectors:
Re: 0.0000 0.0000 0.0000
Mo: 0.5000 0.5000 0.0000
Ru: 0.2500 0.7500 0.5000
Ru: 0.7500 0.2500 0.5000

Run Q
Entry from Alexandria: ReMoRu2 after structural relaxation (PBEsol).

Calculated density = 14.2 g cm⁻³
Fermi-level density of states = 4.33 states/eV per cell
Total magnetic moment = 0.0 μB/cell

Lattice parameters (Å, degrees): 2.7240 3.8032 5.4820 90.00 90.00 90.00
Sites, in units of the cell vectors:
Re: 0.0000 0.0000 0.0000
Mo: 0.5000 0.5000 0.7243
Ru: 0.0000 0.0000 0.4840
Ru: 0.5000 0.5000 0.2262

It is run Q that is the least stable of them.

Run P
Entry from Alexandria: Re2MoRu after structural relaxation (PBEsol).

Calculated density = 16.3 g cm⁻³
Fermi-level density of states = 4.00 states/eV per cell
Total magnetic moment = 0.0 μB/cell

Lattice parameters (Å, degrees): 2.7338 3.8517 5.5026 90.00 90.00 90.00
Sites, in units of the cell vectors:
Re: 0.0000 0.0000 0.0000
Re: 0.5000 0.5000 0.2432
Mo: 0.5000 0.5000 0.7388
Ru: 0.0000 0.0000 0.4920

Run Q
Entry from Alexandria: Re2MoRu after structural relaxation (PBEsol).

Calculated density = 16.3 g cm⁻³
Fermi-level density of states = 4.21 states/eV per cell
Total magnetic moment = 0.0 μB/cell

Lattice parameters (Å, degrees): 2.7128 2.7128 7.8870 90.00 90.00 90.00
Sites, in units of the cell vectors:
Re: 0.0000 0.0000 0.2388
Re: 0.0000 0.0000 0.7612
Mo: 0.5000 0.5000 0.5000
Ru: 0.5000 0.5000 0.0000

It is run Q that is the least stable of them.

Run P
Entry from Alexandria: ReSb2Mo after structural relaxation (PBEsol).

Calculated density = 11.0 g cm⁻³
Fermi-level density of states = 9.40 states/eV per cell
Total magnetic moment = 0.4 μB/cell

Lattice parameters (Å, degrees): 9.5670 9.5670 9.5670 154.75 154.75 36.02
Sites, in units of the cell vectors:
Re: 0.0000 0.0000 0.0000
Re: 0.7500 0.2500 0.5000
Sb: 0.1231 0.6250 0.9981
Sb: 0.3750 0.3731 0.4981
Sb: 0.6269 0.1250 0.0019
Sb: 0.8750 0.8769 0.5019
Mo: 0.2500 0.7500 0.5000
Mo: 0.5000 0.5000 0.0000

Run Q
Entry from Alexandria: ReSb2Mo after structural relaxation (PBEsol).

Calculated density = 12.2 g cm⁻³
Fermi-level density of states = 4.24 states/eV per cell
Total magnetic moment = 0.0 μB/cell

Lattice parameters (Å, degrees): 8.6370 8.6370 8.6370 20.88 20.88 20.88
Sites, in units of the cell vectors:
Re: 0.0000 0.0000 0.0000
Sb: 0.2514 0.2514 0.2514
Sb: 0.7486 0.7486 0.7486
Mo: 0.5000 0.5000 0.5000

It is run P that is the least stable of them.

Run P
Entry from Alexandria: ScReMo2 after structural relaxation (PBEsol).

Calculated density = 10.9 g cm⁻³
Fermi-level density of states = 3.15 states/eV per cell
Total magnetic moment = 0.0 μB/cell

Lattice parameters (Å, degrees): 2.6849 4.5670 5.2370 90.00 90.00 90.00
Sites, in units of the cell vectors:
Sc: 0.0000 0.0000 0.0000
Re: 0.0000 0.0000 0.5000
Mo: 0.5000 0.5000 0.2514
Mo: 0.5000 0.5000 0.7486

Run Q
Entry from Alexandria: ScReMo2 after structural relaxation (PBEsol).

Calculated density = 11.2 g cm⁻³
Fermi-level density of states = 3.57 states/eV per cell
Total magnetic moment = 0.0 μB/cell

Lattice parameters (Å, degrees): 4.4532 4.4532 4.4532 60.00 60.00 60.00
Sites, in units of the cell vectors:
Sc: 0.0000 0.0000 0.0000
Re: 0.5000 0.5000 0.5000
Mo: 0.2500 0.2500 0.2500
Mo: 0.7500 0.7500 0.7500

Run R
Entry from Alexandria: ScReMo2 after structural relaxation (PBEsol).

Calculated density = 11.1 g cm⁻³
Fermi-level density of states = 2.00 states/eV per cell
Total magnetic moment = 0.0 μB/cell

Lattice parameters (Å, degrees): 5.2787 5.2787 5.2787 145.29 130.07 62.24
Sites, in units of the cell vectors:
Sc: 0.0000 0.0000 0.0000
Re: 0.5000 0.5000 0.0000
Mo: 0.2618 0.7618 0.5000
Mo: 0.7382 0.2382 0.5000

It is run P that is the least stable of them.

Run P
Entry from Alexandria: Sr2ReMo after structural relaxation (PBEsol).

Calculated density = 9.1 g cm⁻³
Fermi-level density of states = 2.72 states/eV per cell
Total magnetic moment = 0.0 μB/cell

Lattice parameters (Å, degrees): 2.8040 5.3167 5.6261 90.00 90.13 90.00
Sites, in units of the cell vectors:
Sr: 0.0011 0.0000 0.2515
Sr: 0.9989 0.0000 0.7485
Re: 0.5000 0.5000 0.5000
Mo: 0.5000 0.5000 0.0000

Run Q
Entry from Alexandria: Sr2ReMo after structural relaxation (PBEsol).

Calculated density = 6.5 g cm⁻³
Fermi-level density of states = 4.71 states/eV per cell
Total magnetic moment = 0.0 μB/cell

Lattice parameters (Å, degrees): 9.4010 9.4010 9.4010 159.33 156.51 31.49
Sites, in units of the cell vectors:
Sr: 0.1485 0.1485 0.0000
Sr: 0.8515 0.8515 0.0000
Re: 0.0000 0.5000 0.5000
Mo: 0.5000 0.0000 0.5000

It is run P that is the least stable of them.

Run P
Entry from Alexandria: SrRe2Mo after structural relaxation (PBEsol).

Calculated density = 13.2 g cm⁻³
Fermi-level density of states = 3.38 states/eV per cell
Total magnetic moment = 0.0 μB/cell

Lattice parameters (Å, degrees): 10.1874 10.1874 10.1874 15.98 15.98 15.98
Sites, in units of the cell vectors:
Sr: 0.0000 0.0000 0.0000
Re: 0.2402 0.2402 0.2402
Re: 0.5038 0.5038 0.5038
Mo: 0.7634 0.7634 0.7634

Run Q
Entry from Alexandria: SrRe2Mo after structural relaxation (PBEsol).

Calculated density = 13.2 g cm⁻³
Fermi-level density of states = 3.89 states/eV per cell
Total magnetic moment = 0.0 μB/cell

Lattice parameters (Å, degrees): 5.5812 5.5812 2.6260 90.00 90.00 121.59
Sites, in units of the cell vectors:
Sr: 0.0000 0.0000 0.0000
Re: 0.0000 0.5000 0.5000
Re: 0.5000 0.0000 0.5000
Mo: 0.5000 0.5000 0.0000

It is run Q that is the least stable of them.

Run P
Entry from Alexandria: TaReMo2 after structural relaxation (PBEsol).

Calculated density = 14.9 g cm⁻³
Fermi-level density of states = 2.36 states/eV per cell
Total magnetic moment = 0.0 μB/cell

Lattice parameters (Å, degrees): 3.1438 3.1438 6.3157 90.00 90.00 90.00
Sites, in units of the cell vectors:
Ta: 0.0000 0.0000 0.0000
Re: 0.5000 0.5000 0.7470
Mo: 0.0000 0.0000 0.4981
Mo: 0.5000 0.5000 0.2569

Run Q
Entry from Alexandria: TaReMo2 after structural relaxation (PBEsol).

Calculated density = 14.9 g cm⁻³
Fermi-level density of states = 2.12 states/eV per cell
Total magnetic moment = 0.0 μB/cell

Lattice parameters (Å, degrees): 3.1458 4.4436 4.4636 90.00 90.00 90.00
Sites, in units of the cell vectors:
Ta: 0.0000 0.0000 0.0000
Re: 0.5000 0.5000 0.0000
Mo: 0.0000 0.5000 0.5000
Mo: 0.5000 0.0000 0.5000

It is run P that is the least stable of them.

Run P
Entry from Alexandria: TaReMo2 after structural relaxation (PBEsol).

Calculated density = 14.9 g cm⁻³
Fermi-level density of states = 2.11 states/eV per cell
Total magnetic moment = 0.0 μB/cell

Lattice parameters (Å, degrees): 5.2383 5.2383 5.2383 145.04 129.94 62.51
Sites, in units of the cell vectors:
Ta: 0.0000 0.0000 0.0000
Re: 0.5000 0.5000 0.0000
Mo: 0.2515 0.7515 0.5000
Mo: 0.7485 0.2485 0.5000

Run Q
Entry from Alexandria: TaReMo2 after structural relaxation (PBEsol).

Calculated density = 14.9 g cm⁻³
Fermi-level density of states = 2.11 states/eV per cell
Total magnetic moment = 0.0 μB/cell

Lattice parameters (Å, degrees): 4.4497 4.4497 4.4497 60.00 60.00 60.00
Sites, in units of the cell vectors:
Ta: 0.0000 0.0000 0.0000
Re: 0.2500 0.2500 0.2500
Mo: 0.5000 0.5000 0.5000
Mo: 0.7500 0.7500 0.7500

Run R
Entry from Alexandria: TaReMo2 after structural relaxation (PBEsol).

Calculated density = 14.9 g cm⁻³
Fermi-level density of states = 2.20 states/eV per cell
Total magnetic moment = 0.0 μB/cell

Lattice parameters (Å, degrees): 5.2220 5.2220 5.2220 144.95 129.54 62.92
Sites, in units of the cell vectors:
Ta: 0.0000 0.0000 0.0000
Re: 0.7480 0.2480 0.5000
Mo: 0.2526 0.7526 0.5000
Mo: 0.4995 0.4995 0.0000

Run S
Entry from Alexandria: TaReMo2 after structural relaxation (PBEsol).

Calculated density = 14.9 g cm⁻³
Fermi-level density of states = 2.14 states/eV per cell
Total magnetic moment = 0.0 μB/cell

Lattice parameters (Å, degrees): 4.4516 4.4516 3.1430 90.00 90.00 90.00
Sites, in units of the cell vectors:
Ta: 0.0000 0.0000 0.0000
Re: 0.5000 0.5000 0.0000
Mo: 0.0000 0.5000 0.5000
Mo: 0.5000 0.0000 0.5000

It is run S that is the least stable of them.